The following is a DFT calculation (meta-GGA SCAN) of a crystal of CrCuMo relaxed with PBEsol.

Cell: 5.7272 5.7272 5.7272 Å, 90.00 90.00 90.00°
With the nearest neighbours (Å) after each atom.
Space group F-43m (No. 216)
Symmetry-distinct sites (fractional):
Cr (0.0000, 0.0000, 0.0000)  4 Mo 2.48
Cu (0.0000, 0.0000, 0.5000)  4 Mo 2.48
Mo (0.2500, 0.2500, 0.2500)  4 Cr 2.48, 4 Cu 2.48

Formation energy from the elements, eV per atom: 1.081
D(E_F), states/eV/cell: 13.634
Total moment, Bohr magnetons per cell: 4.20
DFT total energy, eV/cell: -260.904